Record 1
The following is a DFT calculation (PBE) of a relaxed PrPaGe4 crystal.

## Properties
Energy (Ry/atom): -0.416
Space group: F-43m (216)

Cell: 5.628 5.628 5.628 Å, 60.00 60.00 60.00°
Site moments in Bohr magnetons follow the coordinates.
Fractional coordinates of all 6 atoms:
Pr  0.250  0.250  0.250  0.05
Ge  0.626  0.123  0.626  0.00
Ge  0.626  0.626  0.626  0.00
Ge  0.123  0.626  0.626  0.00
Pa  0.000  0.000  0.000  0.27
Ge  0.626  0.626  0.123  0.00



Record 2
The following is a DFT calculation (PBE) of a relaxed Ac2Pr3S8 crystal.

## Properties
ΔE to the lowest computed polymorph (meV per atom): 0
Formation energy from raw total energies (meV/atom): -1890.6
Space group: C2/m (12)

Cell: 7.063 8.524 8.419 Å, 120.42 107.66 90.00°
Fractional coordinates of all 13 atoms:
Ac  0.651  0.730  0.459
S  0.070  0.888  0.776
S  0.930  0.112  0.224
S  0.412  0.897  0.245
S  0.588  0.652  0.755
S  0.938  0.622  0.244
S  0.412  0.348  0.245
Ac  0.349  0.270  0.541
Pr  0.000  0.264  0.000
S  0.062  0.378  0.756
S  0.588  0.103  0.755
Pr  0.500  0.000  0.000
Pr  0.000  0.736  0.000



Record 3
The following is a DFT calculation (PBE) of a relaxed NaReC2 crystal.

## Properties
ΔE to the lowest computed polymorph (meV per atom): 1176
Space group: Fm-3m (225)

Cell: 3.851 3.851 3.851 Å, 60.00 60.00 60.00°
Fractional coordinates of all 4 atoms:
Re  0.500  0.500  0.500
C  0.750  0.750  0.750
C  0.250  0.250  0.250
Na  0.000  0.000  0.000



Record 4
The following is a DFT calculation (PBE) of a relaxed TaNi2B2 crystal.

## Properties
Energy (Ry/atom): -0.578
Space group: Cmc2_1 (36)

Cell: 3.250 5.095 6.292 Å, 90.00 90.00 108.60°
Fractional coordinates of all 10 atoms:
B  0.762  0.525  0.153
B  0.066  0.132  0.542
Ni  0.118  0.236  0.199
B  0.934  0.868  0.042
Ta  0.585  0.170  0.852
B  0.238  0.475  0.653
Ni  0.689  0.378  0.459
Ta  0.415  0.830  0.352
Ni  0.311  0.622  0.959
Ni  0.882  0.764  0.699